(1)
Material: U2SnIr2
Method: DFT, GGA-PBE
State: optimized geometry

Values from the calculation:
DFT total energy = -9.377 eV per atom
Density of states at the Fermi level = 2.13 states/eV per atom
ΔE_f = -0.5165 eV per atom

Lattice parameters (Å, degrees): 7.6877 7.6877 3.5339 90.00 90.00 90.00
Last column: nearest neighbours and their distance in Å.
Fractional coordinates of all 10 atoms:
1 U 0.1680 0.3320 0.0000  6 Ir 2.78-2.93
2 U 0.3320 0.8320 0.0000  6 Ir 2.78-2.93
3 U 0.6680 0.1680 0.0000  6 Ir 2.78-2.93
4 U 0.8320 0.6680 0.0000  6 Ir 2.78-2.93
5 Sn 0.0000 0.0000 0.5000  4 Ir 2.99
6 Sn 0.5000 0.5000 0.5000  4 Ir 2.99
7 Ir 0.1348 0.6348 0.5000  6 U 2.78-2.93, 1 Ir 2.93, 2 Sn 2.99
8 Ir 0.3652 0.1348 0.5000  6 U 2.78-2.93, 1 Ir 2.93, 2 Sn 2.99
9 Ir 0.6348 0.8652 0.5000  6 U 2.78-2.93, 1 Ir 2.93, 2 Sn 2.99
10 Ir 0.8652 0.3652 0.5000  6 U 2.78-2.93, 1 Ir 2.93, 2 Sn 2.99

***

(2)
Material: GaCo2TcC
Method: DFT, GGA-PBE
State: optimized geometry

Values from the calculation:
ΔE to the lowest computed polymorph = 0.0 meV per atom
DFT total energy = -7.418 eV per atom
Density of states at the Fermi level = 0.89 states/eV per atom
ΔE_f = -0.0524 eV per atom

Lattice parameters (Å, degrees): 3.7540 3.7540 4.0728 90.00 90.00 90.00
Last column: nearest neighbours and their distance in Å.
Fractional coordinates of all 5 atoms:
1 Ga 0.0000 0.0000 0.0000  4 Tc 2.65, 8 Co 2.77
2 Co 0.0000 0.5000 0.5000  2 C 1.88
3 Co 0.5000 0.0000 0.5000  2 C 1.88
4 Tc 0.5000 0.5000 0.0000  2 C 2.04
5 C 0.5000 0.5000 0.5000  4 Co 1.88, 2 Tc 2.04

***

(3)
Material: Y2FeCo
Method: DFT, GGA-PBE
State: optimized geometry

Values from the calculation:
ΔE to the lowest computed polymorph = 498.7 meV per atom
DFT total energy = -6.753 eV per atom
Density of states at the Fermi level = 1.57 states/eV per atom
ΔE_f = 0.3708 eV per atom

Lattice parameters (Å, degrees): 7.9712 7.9712 7.9712 25.83 25.83 25.83
Last column: nearest neighbours and their distance in Å.
Fractional coordinates of all 4 atoms:
1 Y 0.2435 0.2435 0.2435  3 Co 2.72, 3 Fe 2.92
2 Y 0.7565 0.7565 0.7565  3 Co 2.72, 3 Fe 2.92
3 Fe 0.0000 0.0000 0.0000  6 Y 2.92
4 Co 0.5000 0.5000 0.5000  6 Y 2.72

***

(4)
Material: HfSbTe
Method: DFT, GGA-PBE
State: optimized geometry

Values from the calculation:
DFT total energy = -6.157 eV per atom
Density of states at the Fermi level = 0.39 states/eV per atom
Energy relative to the elements, uncorrected = -417 meV/atom

Lattice parameters (Å, degrees): 3.7076 3.9121 11.7337 90.00 93.06 90.00
Last column: nearest neighbours and their distance in Å.
Fractional coordinates of all 6 atoms:
1 Hf 0.2178 0.2500 0.3124  2 Te 2.86, 5 Sb 2.96-3.16
2 Hf 0.7822 0.7500 0.6876  2 Te 2.86, 5 Sb 2.96-3.16
3 Sb 0.2635 0.2500 0.5821  5 Hf 2.96-3.16, 4 Sb 3.31
4 Sb 0.7365 0.7500 0.4179  5 Hf 2.96-3.16, 4 Sb 3.31
5 Te 0.2666 0.7500 0.1358  2 Hf 2.86
6 Te 0.7334 0.2500 0.8642  2 Hf 2.86

***

(5)
Material: CaZrFe2
Method: DFT, GGA-PBE
State: optimized geometry

Values from the calculation:
DFT total energy = -6.559 eV per atom
Density of states at the Fermi level = 0.79 states/eV per atom
ΔE_f = 0.3093 eV per atom

Lattice parameters (Å, degrees): 4.4386 4.4386 5.6194 113.27 113.27 60.14
Last column: nearest neighbours and their distance in Å.
Fractional coordinates of all 4 atoms:
1 Ca 0.0000 0.0000 0.0000  8 Fe 2.99-3.26
2 Zr 0.5000 0.5000 0.5000  6 Fe 2.61
3 Fe 0.1990 0.1990 0.5975  3 Zr 2.61, 3 Fe 2.74-2.75
4 Fe 0.8010 0.8010 0.4025  3 Zr 2.61, 3 Fe 2.74-2.75

***

(6)
Material: AcPuIr
Method: DFT, GGA-PBE
State: optimized geometry

Values from the calculation:
ΔE to the lowest computed polymorph = 97.5 meV per atom
DFT total energy = -9.414 eV per atom
Density of states at the Fermi level = 3.38 states/eV per atom
ΔE_f = -0.3132 eV per atom

Lattice parameters (Å, degrees): 4.2152 4.2152 6.2356 90.00 90.00 120.00
Last column: nearest neighbours and their distance in Å.
Fractional coordinates of all 3 atoms:
1 Ac 0.0000 0.0000 0.0000  3 Ir 2.99
2 Pu 0.3333 0.6667 0.4922  3 Ir 2.77
3 Ir 0.6667 0.3333 0.2795  3 Pu 2.77, 3 Ac 2.99

***

(7)
Material: LiRuSN2
Method: DFT, GGA-PBE
State: optimized geometry

Values from the calculation:
DFT total energy = -4.648 eV per atom
Density of states at the Fermi level = 0.66 states/eV per atom
Energy relative to the elements, uncorrected = 1746 meV/atom

Lattice parameters (Å, degrees): 3.5675 3.5675 4.2820 90.00 90.00 90.00
Last column: nearest neighbours and their distance in Å.
Fractional coordinates of all 5 atoms:
1 Li 0.0000 0.0000 0.0000  4 N 1.78
2 Ru 0.5000 0.5000 0.5000  4 S 2.52, 8 N 2.79
3 S 0.0000 0.0000 0.5000  2 Li 2.14
4 N 0.0000 0.5000 0.0000  2 Li 1.78
5 N 0.5000 0.0000 0.0000  2 Li 1.78

***

(8)
Material: LiPr3Zn3
Method: DFT, GGA-PBE
State: optimized geometry

Values from the calculation:
DFT total energy = -3.080 eV per atom
Density of states at the Fermi level = 0.70 states/eV per atom
ΔE_f = -0.2123 eV per atom

Lattice parameters (Å, degrees): 5.4972 5.4972 15.2078 106.84 106.84 52.53
Last column: nearest neighbours and their distance in Å.
Fractional coordinates of all 14 atoms:
1 Li 0.2309 0.2309 0.4167  4 Zn 2.60-2.76
2 Li 0.7691 0.7691 0.5833  4 Zn 2.60-2.76
3 Pr 0.2342 0.2342 0.7800  6 Zn 3.02-3.33
4 Pr 0.3942 0.3942 0.0748  3 Zn 2.98-3.12
5 Pr 0.4780 0.4780 0.6274  4 Li 3.12-3.34, 5 Zn 3.20-3.31
6 Pr 0.5220 0.5220 0.3726  4 Li 3.12-3.34, 5 Zn 3.20-3.31
7 Pr 0.6058 0.6058 0.9252  3 Zn 2.98-3.12
8 Pr 0.7658 0.7658 0.2200  6 Zn 3.02-3.33
9 Zn 0.0810 0.0810 0.2414  1 Zn 2.53, 1 Li 2.60
10 Zn 0.0934 0.0934 0.0781  2 Zn 2.49-2.53
11 Zn 0.1290 0.1290 0.5588  1 Zn 2.59, 3 Li 2.66-2.76
12 Zn 0.8710 0.8710 0.4412  1 Zn 2.59, 3 Li 2.66-2.76
13 Zn 0.9066 0.9066 0.9219  2 Zn 2.49-2.53
14 Zn 0.9190 0.9190 0.7586  1 Zn 2.53, 1 Li 2.60

***

(9)
Material: Pm7Zn2Os2
Method: DFT, GGA-PBE
State: optimized geometry

Values from the calculation:
DFT total energy = -5.354 eV per atom
Density of states at the Fermi level = 0.98 states/eV per atom
ΔE_f = -0.0576 eV per atom

Lattice parameters (Å, degrees): 6.8388 6.8388 7.2147 90.00 90.00 108.96
Last column: nearest neighbours and their distance in Å.
Fractional coordinates of all 11 atoms:
1 Pm 0.0000 0.0000 0.0000  2 Os 3.32
2 Pm 0.0000 0.5000 0.2606  2 Os 2.79
3 Pm 0.0000 0.5000 0.7394  2 Os 2.79
4 Pm 0.5000 0.0000 0.2606  2 Os 2.79
5 Pm 0.5000 0.0000 0.7394  2 Os 2.79
6 Pm 0.5000 0.5000 0.2500  2 Os 2.88
7 Pm 0.5000 0.5000 0.7500  2 Os 2.88
8 Zn 0.1624 0.1624 0.5000  1 Zn 2.58
9 Zn 0.8376 0.8376 0.5000  1 Zn 2.58
10 Os 0.2983 0.7017 0.0000  6 Pm 2.79-2.88
11 Os 0.7017 0.2983 0.0000  6 Pm 2.79-2.88

***

(10)
Material: LiVHg
Method: DFT, GGA-PBE
State: optimized geometry

Values from the calculation:
ΔE to the lowest computed polymorph = 323.3 meV per atom
DFT total energy = -3.422 eV per atom
Density of states at the Fermi level = 0.78 states/eV per atom
ΔE_f = 0.3558 eV per atom

Lattice parameters (Å, degrees): 4.6791 4.6791 6.0190 90.00 90.00 120.00
Last column: nearest neighbours and their distance in Å.
Fractional coordinates of all 6 atoms:
1 Li 0.0000 0.0000 0.0000  6 V 2.86, 2 Li 3.01, 6 Hg 3.09
2 Li 0.0000 0.0000 0.5000  2 Li 3.01, 6 Hg 3.09
3 V 0.3333 0.6667 0.1579  1 V 1.90
4 V 0.3333 0.6667 0.8421  1 V 1.90
5 Hg 0.6667 0.3333 0.2505  3 V 2.76, 2 Hg 3.00-3.02
6 Hg 0.6667 0.3333 0.7495  3 V 2.76, 2 Hg 3.00-3.02

***

(11)
Material: Nd5MgTe6
Method: DFT, GGA-PBE
State: optimized geometry

Values from the calculation:
DFT total energy = -4.995 eV per atom
Density of states at the Fermi level = 0.58 states/eV per atom
Energy relative to the elements, uncorrected = -1305 meV/atom

Lattice parameters (Å, degrees): 7.7313 7.7313 7.7269 99.53 99.53 120.03
Last column: nearest neighbours and their distance in Å.
Fractional coordinates of all 12 atoms:
1 Nd 0.0000 0.0000 0.0000  6 Te 3.16-3.30
2 Nd 0.1659 0.8341 0.5000  6 Te 3.17-3.20
3 Nd 0.3244 0.6756 0.0000  6 Te 3.15-3.25
4 Nd 0.6756 0.3244 0.0000  6 Te 3.15-3.25
5 Nd 0.8341 0.1659 0.5000  6 Te 3.17-3.20
6 Mg 0.5000 0.5000 0.5000  6 Te 2.98-3.00
7 Te 0.1076 0.4218 0.2628  1 Mg 2.98, 5 Nd 3.15-3.25
8 Te 0.2681 0.2681 0.7446  1 Mg 3.00, 5 Nd 3.20-3.30
9 Te 0.4218 0.1076 0.2628  1 Mg 2.98, 5 Nd 3.15-3.25
10 Te 0.5782 0.8924 0.7372  1 Mg 2.98, 5 Nd 3.15-3.25
11 Te 0.7319 0.7319 0.2554  1 Mg 3.00, 5 Nd 3.20-3.30
12 Te 0.8924 0.5782 0.7372  1 Mg 2.98, 5 Nd 3.15-3.25

***

(12)
Material: Pr4Sm3Tl4
Method: DFT, GGA-PBE
State: optimized geometry

Values from the calculation:
DFT total energy = -4.145 eV per atom
Density of states at the Fermi level = 0.96 states/eV per atom
ΔE_f = -0.2599 eV per atom

Lattice parameters (Å, degrees): 11.1057 11.1057 11.1057 160.58 128.81 55.26
Last column: nearest neighbours and their distance in Å.
Fractional coordinates of all 11 atoms:
1 Pr 0.0135 0.8370 0.1764  4 Tl 3.34-3.35, 1 Pr 3.39
2 Pr 0.3394 0.1630 0.1764  4 Tl 3.34-3.35, 1 Pr 3.39
3 Pr 0.6606 0.8370 0.8236  4 Tl 3.34-3.35, 1 Pr 3.39
4 Pr 0.9865 0.1630 0.8236  4 Tl 3.34-3.35, 1 Pr 3.39
5 Sm 0.0000 0.5000 0.5000  4 Tl 3.27
6 Sm 0.4059 0.4059 0.0000  6 Tl 3.19-3.38
7 Sm 0.5941 0.5941 0.0000  6 Tl 3.19-3.38
8 Tl 0.2749 0.7749 0.5000  2 Sm 3.19, 6 Pr 3.34-3.35
9 Tl 0.2790 0.0000 0.2790  6 Sm 3.27-3.38, 2 Pr 3.35
10 Tl 0.7210 0.0000 0.7210  6 Sm 3.27-3.38, 2 Pr 3.35
11 Tl 0.7251 0.2251 0.5000  2 Sm 3.19, 6 Pr 3.34-3.35

***

(13)
Material: Rb2GeP2
Method: DFT, GGA-PBE
State: optimized geometry

Values from the calculation:
DFT total energy = -3.743 eV per atom
ΔE_f = -0.2682 eV per atom

Lattice parameters (Å, degrees): 8.2750 8.2750 10.9397 128.48 128.48 47.66
Last column: nearest neighbours and their distance in Å.
Fractional coordinates of all 10 atoms:
1 Rb 0.0889 0.0889 0.3149  4 P 3.38-3.59
2 Rb 0.3213 0.3213 0.9566  4 P 3.41-3.47, 1 Ge 3.72
3 Rb 0.6787 0.6787 0.0434  4 P 3.41-3.47, 1 Ge 3.72
4 Rb 0.9111 0.9111 0.6851  4 P 3.38-3.59
5 Ge 0.3706 0.3706 0.3395  3 P 2.17-2.34
6 Ge 0.6294 0.6294 0.6605  3 P 2.17-2.34
7 P 0.1820 0.1820 0.1086  1 Ge 2.17
8 P 0.4532 0.4532 0.6117  2 Ge 2.32-2.34
9 P 0.5468 0.5468 0.3883  2 Ge 2.32-2.34
10 P 0.8180 0.8180 0.8914  1 Ge 2.17

***

(14)
Material: Th2ZrP3Rh4
Method: DFT, GGA-PBE
State: optimized geometry

Values from the calculation:
DFT total energy = -7.989 eV per atom
Density of states at the Fermi level = 0.55 states/eV per atom
ΔE_f = -1.0867 eV per atom

Lattice parameters (Å, degrees): 4.0498 4.0498 10.9292 90.00 90.00 90.00
Last column: nearest neighbours and their distance in Å.
Fractional coordinates of all 10 atoms:
1 Th 0.0000 0.5000 0.2262  4 P 3.05, 8 Rh 3.15-3.20
2 Th 0.5000 0.0000 0.7738  4 P 3.05, 8 Rh 3.15-3.20
3 Zr 0.0000 0.0000 0.5000  4 Rh 2.63, 4 P 2.86
4 P 0.0000 0.5000 0.8698  5 Rh 2.36-2.47
5 P 0.5000 0.0000 0.1302  5 Rh 2.36-2.47
6 P 0.5000 0.5000 0.5000  4 Rh 2.63, 4 Zr 2.86
7 Rh 0.0000 0.0000 0.0000  4 P 2.47
8 Rh 0.0000 0.5000 0.6538  3 P 2.36-2.63, 2 Zr 2.63
9 Rh 0.5000 0.0000 0.3462  3 P 2.36-2.63, 2 Zr 2.63
10 Rh 0.5000 0.5000 0.0000  4 P 2.47

***

(15)
Material: Tc2TeRh2
Method: DFT, GGA-PBE
State: optimized geometry

Values from the calculation:
ΔE to the lowest computed polymorph = 0.0 meV per atom
DFT total energy = -7.482 eV per atom
Density of states at the Fermi level = 1.13 states/eV per atom
Energy relative to the elements, uncorrected = 233 meV/atom

Lattice parameters (Å, degrees): 7.2713 7.2713 7.2713 151.73 151.73 40.40
Last column: nearest neighbours and their distance in Å.
Fractional coordinates of all 5 atoms:
1 Tc 0.2500 0.7500 0.5000  4 Tc 2.51, 4 Rh 2.69
2 Tc 0.7500 0.2500 0.5000  4 Tc 2.51, 4 Rh 2.69
3 Te 0.0000 0.0000 0.0000  8 Rh 2.87
4 Rh 0.3983 0.3983 0.0000  4 Tc 2.69, 1 Rh 2.78, 4 Te 2.87
5 Rh 0.6017 0.6017 0.0000  4 Tc 2.69, 1 Rh 2.78, 4 Te 2.87

***

(16)
Material: MnNbCoHSe2
Method: DFT, GGA-PBE
State: optimized geometry

Values from the calculation:
ΔE to the lowest computed polymorph = 65.7 meV per atom
DFT total energy = -6.354 eV per atom
Density of states at the Fermi level = 0.22 states/eV per atom

Lattice parameters (Å, degrees): 6.6334 6.6334 4.1151 108.01 108.01 33.80
Last column: nearest neighbours and their distance in Å.
Fractional coordinates of all 6 atoms:
1 Mn 0.0000 0.0000 0.0000  1 H 1.87
2 Nb 0.3491 0.3491 0.8379  2 H 1.96
3 Co 0.8569 0.8569 0.3486  1 H 1.71
4 H 0.8476 0.8476 0.7532  1 Co 1.71, 1 Mn 1.87
5 Se 0.2149 0.2149 0.1978  2 Co 2.57, 1 Mn 2.58, 2 Nb 2.59-2.63
6 Se 0.5025 0.5025 0.4824  2 Co 2.60, 2 Nb 2.74-2.79, 4 Mn 2.76-2.88

***

(17)
Material: Th2Fe2Sn2C
Method: DFT, GGA-PBE
State: optimized geometry

Values from the calculation:
DFT total energy = -7.368 eV per atom
Density of states at the Fermi level = 0.70 states/eV per atom
ΔE_f = -0.3686 eV per atom

Lattice parameters (Å, degrees): 6.1932 6.1932 7.5079 126.39 126.39 39.21
Last column: nearest neighbours and their distance in Å.
Fractional coordinates of all 7 atoms:
1 Th 0.0412 0.0412 0.2658  2 C 2.71, 2 Fe 2.96
2 Th 0.9588 0.9588 0.7342  2 C 2.71, 2 Fe 2.96
3 Fe 0.3272 0.3272 0.9442  1 C 1.78
4 Fe 0.6728 0.6728 0.0558  1 C 1.78
5 Sn 0.3281 0.3281 0.2926  3 Fe 2.59-2.61
6 Sn 0.6719 0.6719 0.7074  3 Fe 2.59-2.61
7 C 0.5000 0.5000 0.0000  2 Fe 1.78

***

(18)
Material: CsMgAu3
Method: DFT, GGA-PBE
State: optimized geometry

Values from the calculation:
ΔE to the lowest computed polymorph = 1208.8 meV per atom
DFT total energy = -1.357 eV per atom
Density of states at the Fermi level = 0.34 states/eV per atom
ΔE_f = 1.0994 eV per atom

Lattice parameters (Å, degrees): 6.0392 6.0392 6.0392 90.00 90.00 90.00
Last column: nearest neighbours and their distance in Å.
Fractional coordinates of all 5 atoms:
1 Cs 0.0000 0.0000 0.0000  6 Au 3.02
2 Mg 0.5000 0.5000 0.5000  12 Au 4.27
3 Au 0.0000 0.0000 0.5000  2 Cs 3.02
4 Au 0.0000 0.5000 0.0000  2 Cs 3.02
5 Au 0.5000 0.0000 0.0000  2 Cs 3.02

***

(19)
Material: Be2AsPS
Method: DFT, GGA-PBE
State: optimized geometry

Values from the calculation:
DFT total energy = -3.463 eV per atom
Density of states at the Fermi level = 0.34 states/eV per atom
Energy relative to the elements, uncorrected = 865 meV/atom

Lattice parameters (Å, degrees): 4.1989 4.1989 4.9158 90.00 90.00 90.00
Last column: nearest neighbours and their distance in Å.
Fractional coordinates of all 5 atoms:
1 Be 0.0000 0.5000 0.0000  2 As 2.10
2 Be 0.5000 0.0000 0.0000  2 As 2.10
3 As 0.0000 0.0000 0.0000  4 Be 2.10
4 P 0.5000 0.5000 0.5000  4 S 2.97, 8 Be 3.23
5 S 0.0000 0.0000 0.5000  2 As 2.46

***

(20)
Material: MnZnTe
Method: DFT, GGA-PBE
State: optimized geometry

Values from the calculation:
ΔE to the lowest computed polymorph = 330.5 meV per atom
DFT total energy = -4.298 eV per atom
Density of states at the Fermi level = 0.79 states/eV per atom
Energy relative to the elements, uncorrected = 230 meV/atom

Lattice parameters (Å, degrees): 5.0456 5.0456 5.0456 138.89 138.89 59.54
Last column: nearest neighbours and their distance in Å.
Fractional coordinates of all 3 atoms:
1 Mn 0.0000 0.0000 0.0000  5 Zn 2.85-3.03, 5 Te 2.88-2.95
2 Zn 0.3459 0.3459 0.0000  5 Te 2.78-2.97, 5 Mn 2.85-3.03
3 Te 0.6633 0.6633 0.0000  5 Zn 2.78-2.97, 5 Mn 2.88-2.95